1.
Compound: V2AuS
Source: the Alexandria database
Functional: PBE
Structure: relaxed

```
V2AuS
1.0
6.636 0.000 0.000
0.000 6.636 0.000
3.318 3.318 2.834
S Au V
2 2 4
Cartesian
3.318 3.318 0.000 S
3.318 6.636 1.417 S
0.000 0.000 0.000 Au
6.636 3.318 1.417 Au
4.638 1.659 0.709 V
1.998 4.977 0.709 V
4.977 5.316 2.126 V
8.295 7.956 2.126 V
```

=====

2.
Compound: V3AuS
Source: the Alexandria database
Functional: PBE
Structure: relaxed

```
V3AuS
1.0
4.865 0.000 0.000
0.000 4.865 0.000
0.000 0.000 4.865
S Au V
1 1 3
Cartesian
2.433 2.433 2.433 S
0.000 0.000 0.000 Au
0.000 2.433 0.000 V
0.000 0.000 2.433 V
2.433 0.000 0.000 V
```

energy above the most stable polymorph in this dataset = 1373 meV per atom

=====

3.
Compound: VAuS2
Source: the Alexandria database
Functional: PBE
Structure: relaxed

```
VAuS2
1.0
5.534 0.000 0.000
0.000 5.534 0.000
2.767 2.767 5.561
S Au V
4 2 2
Cartesian
3.966 1.384 1.390 S
1.568 4.151 1.390 S
4.151 4.335 4.171 S
6.918 6.733 4.171 S
0.000 0.000 0.000 Au
5.534 2.767 2.781 Au
2.767 2.767 0.000 V
2.767 5.534 2.781 V
```

=====

4.
Compound: VAuS
Source: the Alexandria database
Functional: PBE
Structure: relaxed

```
VAuS
1.0
2.952 0.000 0.000
0.000 2.952 0.000
0.000 0.000 11.619
S V Au
2 2 2
Cartesian
0.000 1.476 7.457 S
1.476 0.000 4.162 S
1.476 0.000 8.609 V
0.000 1.476 3.010 V
0.000 1.476 10.563 Au
1.476 0.000 1.055 Au
```

=====

5.
Compound: VAuS3
Source: the Alexandria database
Functional: PBE
Structure: relaxed

```
VAuS3
1.0
-0.461 4.706 -0.849
-4.348 -0.768 -1.893
-1.990 0.586 4.333
S Au V
3 1 1
Cartesian
-2.174 -0.384 -0.947 S
-0.995 0.293 2.166 S
-0.231 2.353 -0.424 S
0.000 0.000 0.000 Au
-3.400 2.262 0.795 V
```

energy above the most stable polymorph in this dataset = 669 meV per atom

=====

6.
Compound: VAuS3
Source: the Alexandria database
Functional: PBE
Structure: relaxed

```
VAuS3
1.0
4.573 0.000 0.000
0.000 4.573 0.000
0.000 0.000 4.573
S Au V
3 1 1
Cartesian
0.000 2.286 0.000 S
0.000 0.000 2.286 S
2.286 0.000 0.000 S
2.286 2.286 2.286 Au
0.000 0.000 0.000 V
```

energy above the most stable polymorph in this dataset = 0 meV per atom

=====

7.
Compound: VAuS2
Source: the Alexandria database
Functional: PBE
Structure: relaxed

```
VAuS2
1.0
-0.987 -1.790 2.487
0.523 -1.373 -2.864
14.459 -2.584 3.877
V Au S
2 2 4
Cartesian
3.634 -2.158 -0.111 V
10.361 -3.589 3.611 V
0.000 0.000 0.000 Au
7.229 -1.292 1.938 Au
4.978 -0.890 1.335 S
12.208 -2.182 3.273 S
2.251 -0.402 0.604 S
9.481 -1.695 2.542 S
```

=====

8.
Compound: WAuS2
Source: the Alexandria database
Functional: PBE
Structure: relaxed

```
WAuS2
1.0
1.865 0.000 7.952
-0.933 1.615 7.952
-0.933 -1.615 7.952
S Au W
2 1 1
Cartesian
0.000 0.000 21.447 S
0.000 0.000 2.408 S
0.000 0.000 0.000 Au
0.000 0.000 11.927 W
```

energy above the most stable polymorph in this dataset = 0 meV per atom

=====

no.,formation energy (no corrections) (eV per atom),total magnetization (μB per cell),total DFT energy (no corrections) (Ry/atom)
1,-0.023,1.15,-0.4728
2,1.391,6.88,-0.4088
3,-0.360,4.00,-0.4059
4,-0.405,0.00,-0.4346
5,0.831,1.91,-0.3031
6,0.163,0.01,-0.3523
7,-0.708,0.00,-0.4315
8,-0.277,0.00,-0.4702